1.
Entry from Alexandria: Ac2UTe5Au after structural relaxation (PBE-GGA).

Lattice parameters (Å, degrees): 4.5021 10.0548 13.5728 90.00 90.00 102.94
Site moments in Bohr magnetons follow the coordinates.
Fractional coordinates of all 18 atoms:
Te  0.9594  0.9189  0.5663  -0.03
Te  0.3033  0.6065  0.3453  -0.02
Te  0.5003  0.0006  0.7753  0.00
Te  0.4997  0.9994  0.2753  0.00
Te  0.0406  0.0811  0.0663  -0.03
Te  0.6474  0.2947  0.5030  -0.02
Te  0.7085  0.4169  0.1686  -0.03
Te  0.2915  0.5831  0.6686  -0.03
Te  0.3526  0.7053  0.0030  -0.02
Te  0.6967  0.3935  0.8453  -0.02
Ac  0.1156  0.2313  0.6893  0.01
Ac  0.8844  0.7687  0.1893  0.01
Ac  0.8766  0.7531  0.8112  0.02
Ac  0.1234  0.2469  0.3112  0.02
U  0.8112  0.6224  0.5095  2.63
U  0.1888  0.3776  0.0095  2.63
Au  0.5716  0.1432  0.9554  0.01
Au  0.4284  0.8568  0.4554  0.01

Calculated values
E_form (uncorrected) (meV/atom): -1066

2.
Entry from Alexandria: Ac2YTe5Au after structural relaxation (PBE-GGA).

Lattice parameters (Å, degrees): 4.5093 10.0682 13.4661 90.00 90.00 102.94
Fractional coordinates of all 18 atoms:
Au  0.5730  0.1459  0.9563
Au  0.4270  0.8541  0.4563
Ac  0.1140  0.2279  0.6891
Ac  0.8860  0.7721  0.1891
Ac  0.1237  0.2473  0.3105
Ac  0.8763  0.7527  0.8105
Te  0.3036  0.6072  0.3462
Te  0.6491  0.2981  0.5021
Te  0.5000  0.0000  0.2766
Te  0.6964  0.3928  0.8462
Te  0.9583  0.9166  0.5660
Te  0.3509  0.7019  0.0021
Te  0.0417  0.0834  0.0660
Te  0.5000  0.0000  0.7766
Te  0.7106  0.4211  0.1673
Te  0.2894  0.5789  0.6673
Y  0.1886  0.3771  0.0098
Y  0.8114  0.6229  0.5098

Calculated values
E_form (uncorrected) (meV/atom): -1315

3.
Entry from Alexandria: AcThAu after structural relaxation (PBE-GGA).

Lattice parameters (Å, degrees): 3.8512 3.8512 6.9902 105.99 105.99 90.00
Fractional coordinates of all 3 atoms:
Au  0.6868  0.6868  0.3736
Ac  0.0097  0.0097  0.0195
Th  0.3034  0.3034  0.6069

Calculated values
Polymorph energy (0 for the lowest one) (kcal/mol of atoms): 0.00
Formation energy from the elements (meV/atom): -378

4.
Entry from Alexandria: AcTh2Au after structural relaxation (PBE-GGA).

Lattice parameters (Å, degrees): 3.7726 3.7726 8.7994 90.00 90.00 90.00
Fractional coordinates of all 4 atoms:
Au  0.5000  0.5000  0.0000
Th  0.0000  0.0000  0.7949
Th  0.0000  0.0000  0.2051
Ac  0.5000  0.5000  0.5000

Calculated values
Polymorph energy (0 for the lowest one) (kcal/mol of atoms): 0.00
Formation energy from the elements (meV/atom): -211

5.
Entry from Alexandria: AcThAu after structural relaxation (PBE-GGA).

Lattice parameters (Å, degrees): 4.6720 5.0168 5.0168 120.00 90.00 90.00
Fractional coordinates of all 3 atoms:
Au  0.1670  0.3333  0.6667
Th  0.1665  0.0000  0.0000
Ac  0.6665  0.6667  0.3333

Calculated values
Polymorph energy (0 for the lowest one) (kcal/mol of atoms): 3.61
Formation energy from the elements (meV/atom): -221

6.
Entry from Alexandria: Ac2ThAu6 after structural relaxation (PBE-GGA).

Lattice parameters (Å, degrees): 3.7615 8.3677 8.3677 120.00 90.00 90.00
Fractional coordinates of all 9 atoms:
Au  0.5000  0.6691  0.0000
Au  0.5000  0.0000  0.6691
Au  0.5000  0.0000  0.3309
Au  0.5000  0.6691  0.6691
Au  0.5000  0.3309  0.3309
Au  0.5000  0.3309  0.0000
Th  0.0000  0.0000  0.0000
Ac  0.0000  0.3333  0.6667
Ac  0.0000  0.6667  0.3333

Calculated values
Formation energy from the elements (meV/atom): -754

In order of appearance, magnetic moment = 0.324; 0.000; 0.000; 0.000; 0.000; 0.000 μB/atom.